No. 1
Here is a crystal of Pr4Bi3 relaxed with PBEsol from the Alexandria database. Energies are from SCAN.

## Properties
Calculated formation energy = -1002.0 meV/atom

Unit cell a=8.3253 b=8.3253 c=8.3253 alpha=109.47 beta=109.47 gamma=109.47
Fractional positions:
1 Pr 0.5000 0.6433 0.5000
2 Pr 0.3567 0.3567 0.8567
3 Pr 0.0000 0.5000 0.6433
4 Pr 0.1433 0.0000 0.0000
5 Pr 0.0000 0.5000 0.1433
6 Pr 0.6433 0.0000 0.0000
7 Pr 0.8567 0.8567 0.3567
8 Pr 0.5000 0.1433 0.5000
9 Bi 0.3750 0.7500 0.1250
10 Bi 0.2500 0.8750 0.6250
11 Bi 0.7500 0.6250 0.8750
12 Bi 0.6250 0.3750 0.2500
13 Bi 0.8750 0.1250 0.7500
14 Bi 0.1250 0.2500 0.3750



No. 2
Here is a crystal of Pr3Bi4Pt3 relaxed with PBEsol from the Alexandria database. Energies are from SCAN.

## Properties
Calculated formation energy = -1019.1 meV/atom

Unit cell a=8.7043 b=8.7043 c=8.7043 alpha=109.47 beta=109.47 gamma=109.47
Fractional positions:
1 Pr 0.8750 0.1250 0.7500
2 Pr 0.6250 0.3750 0.2500
3 Pr 0.1250 0.2500 0.3750
4 Pr 0.3750 0.7500 0.1250
5 Pr 0.7500 0.6250 0.8750
6 Pr 0.2500 0.8750 0.6250
7 Bi 0.6702 0.0000 0.0000
8 Bi 0.8298 0.8298 0.3298
9 Bi 0.0000 0.5000 0.1702
10 Bi 0.1702 0.0000 0.0000
11 Bi 0.5000 0.6702 0.5000
12 Bi 0.3298 0.3298 0.8298
13 Bi 0.5000 0.1702 0.5000
14 Bi 0.0000 0.5000 0.6702
15 Pt 0.3750 0.6250 0.7500
16 Pt 0.1250 0.8750 0.2500
17 Pt 0.6250 0.2500 0.8750
18 Pt 0.8750 0.7500 0.6250
19 Pt 0.7500 0.1250 0.3750
20 Pt 0.2500 0.3750 0.1250



No. 3
Here is a crystal of PrBiRh relaxed with PBEsol from the Alexandria database. Energies are from SCAN.

## Properties
Calculated formation energy = -874.5 meV/atom

Unit cell a=4.7168 b=7.4131 c=8.0111 alpha=90.00 beta=90.00 gamma=90.00
Fractional positions:
1 Pr 0.2500 0.0140 0.3039
2 Pr 0.7500 0.9860 0.6961
3 Pr 0.2500 0.5140 0.1961
4 Pr 0.7500 0.4860 0.8039
5 Rh 0.7500 0.2050 0.0824
6 Rh 0.7500 0.7050 0.4176
7 Rh 0.2500 0.2950 0.5824
8 Rh 0.2500 0.7950 0.9176
9 Bi 0.2500 0.6826 0.5890
10 Bi 0.7500 0.8174 0.0890
11 Bi 0.7500 0.3174 0.4110
12 Bi 0.2500 0.1826 0.9110



No. 4
Here is a crystal of RbBiPt relaxed with PBEsol from the Alexandria database. Energies are from SCAN.

## Properties
Calculated formation energy = -402.5 meV/atom

Unit cell a=4.6740 b=6.4867 c=6.7486 alpha=99.58 beta=110.26 gamma=90.00
Fractional positions:
1 Rb 0.8735 0.6386 0.7470
2 Rb 0.1265 0.3614 0.2530
3 Bi 0.4053 0.1474 0.8106
4 Bi 0.5947 0.8526 0.1894
5 Pt 0.2010 0.9108 0.4021
6 Pt 0.7990 0.0892 0.5979



No. 5
Here is a crystal of BiPt3Rh relaxed with PBEsol from the Alexandria database. Energies are from SCAN.

## Properties
Calculated formation energy = 1060.4 meV/atom

Unit cell a=4.7592 b=4.7592 c=4.7592 alpha=90.00 beta=90.00 gamma=90.00
Fractional positions:
1 Rh 0.0000 0.0000 0.0000
2 Bi 0.5000 0.5000 0.5000
3 Pt 0.0000 0.5000 0.0000
4 Pt 0.0000 0.0000 0.5000
5 Pt 0.5000 0.0000 0.0000



No. 6
Here is a crystal of BiPtS2 relaxed with PBEsol from the Alexandria database. Energies are from SCAN.

## Properties
Energy relative to the elements, uncorrected = 0.061 eV per atom

Unit cell a=5.4102 b=5.4102 c=7.5850 alpha=110.89 beta=110.89 gamma=90.00
Fractional positions:
1 S 0.4434 0.8750 0.2500
2 S 0.8066 0.3750 0.2500
3 S 0.1250 0.1934 0.7500
4 S 0.6250 0.5566 0.7500
5 Bi 0.2500 0.7500 0.5000
6 Bi 0.0000 0.0000 0.0000
7 Pt 0.7500 0.2500 0.5000
8 Pt 0.5000 0.5000 0.0000



No. 7
Here is a crystal of Bi2SbPt2 relaxed with PBEsol from the Alexandria database. Energies are from SCAN.

## Properties
Energy relative to the elements, uncorrected = 0.000 eV per atom

Unit cell a=4.0143 b=7.4512 c=7.4512 alpha=90.00 beta=90.00 gamma=90.00
Fractional positions:
1 Sb 0.0000 0.0000 0.0000
2 Sb 0.0000 0.5000 0.5000
3 Bi 0.5000 0.1636 0.6636
4 Bi 0.5000 0.6636 0.8364
5 Bi 0.5000 0.8364 0.3364
6 Bi 0.5000 0.3364 0.1636
7 Pt 0.0000 0.3665 0.8665
8 Pt 0.0000 0.8665 0.6335
9 Pt 0.0000 0.6335 0.1335
10 Pt 0.0000 0.1335 0.3665



No. 8
Here is a crystal of Bi2Sb2Pt relaxed with PBEsol from the Alexandria database. Energies are from SCAN.

## Properties
Energy relative to the elements, uncorrected = -0.091 eV per atom

Unit cell a=6.3275 b=6.6968 c=6.6968 alpha=90.00 beta=90.00 gamma=90.00
Fractional positions:
1 Sb 0.0000 0.3510 0.8510
2 Sb 0.0000 0.8510 0.6490
3 Sb 0.0000 0.6490 0.1490
4 Sb 0.0000 0.1490 0.3510
5 Bi 0.5000 0.3086 0.8086
6 Bi 0.5000 0.8086 0.6914
7 Bi 0.5000 0.6914 0.1914
8 Bi 0.5000 0.1914 0.3086
9 Pt 0.0000 0.0000 0.0000
10 Pt 0.0000 0.5000 0.5000